(1)
## GeRuSe2Br (meta-GGA SCAN)

Data for a PBEsol-optimized structure of GeRuSe2Br.

abc: 4.8880 4.8880 5.0334
angles: 90.00 90.00 90.00
Closest atoms and distances in Å follow each position.
Space group P4/mmm (No. 123)
Symmetry-distinct sites (fractional):
Ge1 0.0000 0.0000 0.0000  4 Se 2.44, 2 Br 2.52
Ru1 0.5000 0.5000 0.5000  4 Br 3.46, 8 Se 3.51
Se1 0.0000 0.5000 0.0000  2 Ge 2.44
Br1 0.0000 0.0000 0.5000  2 Ge 2.52

Values from the calculation:
Total moment ... 3.71 Bohr magnetons per cell
Raw formation energy ... 0.905 eV/atom
V ... 24.05 A^3/atom
VASP energy ... -0.8012 Ha/atom



(2)
## YTi2Ir2 (meta-GGA SCAN)

Data for a PBEsol-optimized structure of YTi2Ir2.

abc: 4.1903 4.1903 10.6563
angles: 90.00 90.00 90.00
Closest atoms and distances in Å follow each position.
Space group I4/mmm (No. 139)
Symmetry-distinct sites (fractional):
Y1 0.0000 0.0000 0.0000  8 Ir 3.23, 8 Ti 3.39
Ti1 0.0000 0.5000 0.2500  4 Ir 2.51
Ir1 0.0000 0.0000 0.3804  4 Ti 2.51, 1 Ir 2.55

Values from the calculation:
Total moment ... 0.00 Bohr magnetons per cell
ΔE_f ... -1.04 eV per atom
V ... 18.71 A^3/atom
VASP energy ... -1.5237 Ha/atom



(3)
## BaZnW (meta-GGA SCAN)

Data for a PBEsol-optimized structure of BaZnW.

abc: 6.7461 6.7461 6.7461
angles: 90.00 90.00 90.00
Closest atoms and distances in Å follow each position.
Space group F-43m (No. 216)
Symmetry-distinct sites (fractional):
Ba1 0.0000 0.0000 0.0000  4 W 2.92
Zn1 0.0000 0.0000 0.5000  4 W 2.92
W1 0.2500 0.2500 0.2500  4 Ba 2.92, 4 Zn 2.92

Values from the calculation:
Total moment ... 8.10 Bohr magnetons per cell
ΔE_f ... 1.63 eV per atom
V ... 25.58 A^3/atom
VASP energy ... -1.4438 Ha/atom
Polymorph energy (0 for the lowest one) ... 686 meV/atom



(4)
## SrWSe3 (meta-GGA SCAN)

Data for a PBEsol-optimized structure of SrWSe3.

abc: 4.9586 4.9586 4.9586
angles: 90.00 90.00 90.00
Closest atoms and distances in Å follow each position.
Space group Pm-3m (No. 221)
Symmetry-distinct sites (fractional):
Sr1 0.0000 0.0000 0.0000  12 Se 3.51
W1 0.5000 0.5000 0.5000  6 Se 2.48
Se1 0.0000 0.5000 0.5000  2 W 2.48

Values from the calculation:
Total moment ... 0.00 Bohr magnetons per cell
Raw formation energy ... -0.642 eV/atom
V ... 24.38 A^3/atom
VASP energy ... -1.1422 Ha/atom



(5)
## FeHgOs (meta-GGA SCAN)

Data for a PBEsol-optimized structure of FeHgOs.

abc: 6.0403 6.0403 6.0403
angles: 90.00 90.00 90.00
Closest atoms and distances in Å follow each position.
Space group F-43m (No. 216)
Symmetry-distinct sites (fractional):
Fe1 0.0000 0.0000 0.0000  4 Os 2.62
Hg1 0.0000 0.0000 0.5000  4 Os 2.62
Os1 0.2500 0.2500 0.2500  4 Hg 2.62, 4 Fe 2.62

Values from the calculation:
Total moment ... 15.89 Bohr magnetons per cell
ΔE_f ... 1.08 eV per atom
V ... 18.37 A^3/atom
VASP energy ... -1.8978 Ha/atom



(6)
## Er8In3Co (meta-GGA SCAN)

Data for a PBEsol-optimized structure of Er8In3Co.

abc: 10.1003 10.1003 6.8023
angles: 90.00 90.00 120.00
Closest atoms and distances in Å follow each position.
Space group P6_3mc (No. 186)
Symmetry-distinct sites (fractional):
Er1 0.0000 0.0000 0.2805  6 In 3.29-3.34, 8 Er 3.40-3.66
Er2 0.0684 0.5342 0.2907  1 Co 2.76
Er3 0.1784 0.3568 0.0000  1 Co 2.75, 2 In 3.01
Er4 0.3333 0.6667 0.6809  1 Co 2.65
In1 0.1629 0.3257 0.5381  8 Er 3.01-3.34
Co1 0.3333 0.6667 0.0698  7 Er 2.65-2.76

Values from the calculation:
Total moment ... 0.00 Bohr magnetons per cell
ΔE_f ... -0.46 eV per atom
V ... 25.04 A^3/atom
VASP energy ... -1.6098 Ha/atom



(7)
## PRu4Br (meta-GGA SCAN)

Data for a PBEsol-optimized structure of PRu4Br.

abc: 7.1923 7.1923 7.1923
angles: 90.00 90.00 90.00
Closest atoms and distances in Å follow each position.
Space group F-43m (No. 216)
Symmetry-distinct sites (fractional):
P1 0.0000 0.0000 0.0000  12 Ru 2.98, 4 Br 3.11
Ru1 0.1256 0.1256 0.6256  6 Ru 2.53-2.56
Br1 0.2500 0.2500 0.2500  12 Ru 2.98, 4 P 3.11

Values from the calculation:
Total moment ... 22.52 Bohr magnetons per cell
Raw formation energy ... 1.246 eV/atom
V ... 15.50 A^3/atom
VASP energy ... -0.9903 Ha/atom



(8)
## BeTlBr2 (meta-GGA SCAN)

Data for a PBEsol-optimized structure of BeTlBr2.

abc: 3.2631 6.7025 9.9038
angles: 90.00 90.00 90.00
Closest atoms and distances in Å follow each position.
Space group Cmmm (No. 65)
Symmetry-distinct sites (fractional):
Be1 0.0000 0.0000 0.0000  4 Br 2.27
Tl1 0.0000 0.0000 0.5000  2 Tl 3.26
Br1 0.0000 0.5000 0.1594  2 Be 2.27

Values from the calculation:
Total moment ... 0.00 Bohr magnetons per cell
Raw formation energy ... -0.422 eV/atom
V ... 27.08 A^3/atom
VASP energy ... -1.0778 Ha/atom
Polymorph energy (0 for the lowest one) ... 0 meV/atom



(9)
## Co2GeN (meta-GGA SCAN)

Data for a PBEsol-optimized structure of Co2GeN.

abc: 5.4640 5.4640 5.4640
angles: 90.00 90.00 90.00
Closest atoms and distances in Å follow each position.
Space group Fm-3m (No. 225)
Symmetry-distinct sites (fractional):
Co1 0.2500 0.2500 0.2500  4 N 2.37, 4 Ge 2.37
Ge1 0.0000 0.0000 0.0000  8 Co 2.37
N1 0.0000 0.0000 0.5000  8 Co 2.37

Values from the calculation:
Total moment ... 11.47 Bohr magnetons per cell
Raw formation energy ... 0.816 eV/atom
V ... 10.20 A^3/atom
VASP energy ... -0.5487 Ha/atom



(10)
## YSe2 (meta-GGA SCAN)

Data for a PBEsol-optimized structure of YSe2.

abc: 4.0087 5.5744 13.1284
angles: 90.00 90.00 90.00
Closest atoms and distances in Å follow each position.
Space group Immm (No. 71)
Symmetry-distinct sites (fractional):
Y1 0.0000 0.0000 0.1488  8 Se 2.77-3.05
Se1 0.0000 0.2829 0.5000  1 Se 2.42
Se2 0.0000 0.5000 0.2051  4 Y 2.77-2.88

Values from the calculation:
Total moment ... 0.00 Bohr magnetons per cell
Raw formation energy ... -1.786 eV/atom
V ... 24.45 A^3/atom
VASP energy ... -0.8986 Ha/atom



(11)
## Zr2BiPd2 (meta-GGA SCAN)

Data for a PBEsol-optimized structure of Zr2BiPd2.

abc: 7.6235 7.6235 3.3781
angles: 90.00 90.00 90.00
Closest atoms and distances in Å follow each position.
Space group P4/mbm (No. 127)
Symmetry-distinct sites (fractional):
Zr1 0.1659 0.3341 0.0000  6 Pd 2.81
Bi1 0.0000 0.0000 0.5000  4 Pd 3.01, 8 Zr 3.31
Pd1 0.1261 0.6261 0.5000  1 Pd 2.72, 6 Zr 2.81, 2 Bi 3.01

Values from the calculation:
Total moment ... 0.00 Bohr magnetons per cell
ΔE_f ... -0.66 eV per atom
V ... 19.63 A^3/atom
VASP energy ... -1.5347 Ha/atom



(12)
## Ti5MnSn3 (meta-GGA SCAN)

Data for a PBEsol-optimized structure of Ti5MnSn3.

abc: 8.1305 8.1305 5.4101
angles: 90.00 90.00 120.00
Closest atoms and distances in Å follow each position.
Space group P6_3/mcm (No. 193)
Symmetry-distinct sites (fractional):
Ti1 0.0000 0.2439 0.2500  2 Mn 2.40
Ti2 0.3333 0.6667 0.0000  2 Ti 2.71, 6 Sn 2.84
Mn1 0.0000 0.0000 0.0000  6 Ti 2.40
Sn1 0.0000 0.3961 0.7500  9 Ti 2.81-2.97

Values from the calculation:
Total moment ... 0.00 Bohr magnetons per cell
ΔE_f ... -0.41 eV per atom
V ... 17.21 A^3/atom
VASP energy ... -0.8570 Ha/atom



- Which of these has the highest V?
  BeTlBr2



- Which of these has the highest VASP energy?
  Co2GeN



- Number 11 is which compound?
  Zr2BiPd2